(1)
The following is a PBE calculation of Ba3In4Cu3O12 after structural relaxation, from the Alexandria database.

Calculated values
- Mass density: 6.360 g cm⁻³
- Raw total energy: -246.345 eV for the cell shown
- M_tot: 3.0 μB/f.u.
- SG: I4/mcm (140)

Unit cell a=9.7219 b=9.7219 c=9.7219 alpha=101.35 beta=101.35 gamma=127.34
Positions (direct):
Ba (0.0000, 0.0000, 0.0000)
Ba (0.2210, 0.7210, 0.9420)
Ba (0.2790, 0.2210, 0.5000)
Ba (0.5000, 0.5000, 0.0000)
Ba (0.7210, 0.7790, 0.5000)
Ba (0.7790, 0.2790, 0.0580)
In (0.0069, 0.2500, 0.7569)
In (0.2500, 0.0069, 0.7569)
In (0.2500, 0.4931, 0.2431)
In (0.4931, 0.2500, 0.2431)
In (0.5069, 0.7500, 0.7569)
In (0.7500, 0.5069, 0.7569)
In (0.7500, 0.9931, 0.2431)
In (0.9931, 0.7500, 0.2431)
Cu (0.1029, 0.3971, 0.5000)
Cu (0.2500, 0.7500, 0.5000)
Cu (0.3971, 0.8971, 0.2942)
Cu (0.6029, 0.1029, 0.7058)
Cu (0.7500, 0.2500, 0.5000)
Cu (0.8971, 0.6029, 0.5000)
O (0.0012, 0.2704, 0.2716)
O (0.1136, 0.8392, 0.5000)
O (0.1205, 0.1205, 0.7411)
O (0.1205, 0.3795, 0.0000)
O (0.1608, 0.6608, 0.2745)
O (0.2296, 0.4988, 0.7284)
O (0.2704, 0.9988, 0.2693)
O (0.3392, 0.6136, 0.5000)
O (0.3795, 0.1205, 0.0000)
O (0.3795, 0.3795, 0.2589)
O (0.3864, 0.8864, 0.7255)
O (0.4988, 0.7704, 0.2693)
O (0.5012, 0.2296, 0.7307)
O (0.6136, 0.1136, 0.2745)
O (0.6205, 0.6205, 0.7411)
O (0.6205, 0.8795, 0.0000)
O (0.6608, 0.3864, 0.5000)
O (0.7296, 0.0012, 0.7307)
O (0.7704, 0.5012, 0.2716)
O (0.8392, 0.3392, 0.7255)
O (0.8795, 0.6205, 0.0000)
O (0.8795, 0.8795, 0.2589)
O (0.8864, 0.1608, 0.5000)
O (0.9988, 0.7296, 0.7284)

=====

(2)
The following is a PBE calculation of Ba2InCuO5 after structural relaxation, from the Alexandria database.

Calculated values
- Mass density: 6.059 g cm⁻³
- Raw total energy: -101.189 eV for the cell shown
- M_tot: 0.0 μB/f.u.
- SG: Cmc2_1 (36)

Unit cell a=8.2499 b=8.2499 c=10.2829 alpha=90.00 beta=90.00 gamma=155.33
Positions (direct):
Ba (0.1143, 0.8857, 0.5000)
Ba (0.1159, 0.8841, 0.1230)
Ba (0.8841, 0.1159, 0.6230)
Ba (0.8857, 0.1143, 0.0000)
In (0.2123, 0.7877, 0.7973)
In (0.7877, 0.2123, 0.2973)
Cu (0.4376, 0.5624, 0.2901)
Cu (0.5624, 0.4376, 0.7901)
O (0.0408, 0.9592, 0.8347)
O (0.2953, 0.7047, 0.1562)
O (0.3400, 0.6600, 0.8189)
O (0.3412, 0.6588, 0.4141)
O (0.4909, 0.5091, 0.1318)
O (0.5091, 0.4909, 0.6318)
O (0.6588, 0.3412, 0.9141)
O (0.6600, 0.3400, 0.3189)
O (0.7047, 0.2953, 0.6562)
O (0.9592, 0.0408, 0.3347)

=====

(3)
The following is a PBE calculation of BaInCu2O after structural relaxation, from the Alexandria database.

Calculated values
- Mass density: 4.430 g cm⁻³
- Raw total energy: -15.569 eV for the cell shown
- M_tot: 0.0 μB/f.u.
- SG: P4/mmm (123)

Unit cell a=5.7322 b=5.7322 c=4.5091 alpha=90.00 beta=90.00 gamma=90.00
Positions (direct):
Ba (0.0000, 0.0000, 0.0000)
In (0.5000, 0.5000, 0.5000)
Cu (0.0000, 0.5000, 0.0000)
Cu (0.5000, 0.0000, 0.0000)
O (0.0000, 0.0000, 0.5000)

=====

(4)
The following is a PBE calculation of BaInCuP2 after structural relaxation, from the Alexandria database.

Calculated values
- Mass density: 5.029 g cm⁻³
- Raw total energy: -44.106 eV for the cell shown
- Energy relative to the elements: -11.419 kcal/mol of atoms
- M_tot: 0.0 μB/f.u.
- SG: C2/m (12)

Unit cell a=6.8541 b=6.8541 c=9.1772 alpha=98.48 beta=98.48 gamma=35.84
Positions (direct):
Ba (0.1658, 0.1658, 0.1872)
Ba (0.8342, 0.8342, 0.8128)
In (0.4499, 0.4499, 0.3130)
In (0.5501, 0.5501, 0.6870)
Cu (0.1687, 0.1687, 0.5704)
Cu (0.8313, 0.8313, 0.4296)
P (0.1296, 0.1296, 0.8287)
P (0.3587, 0.3587, 0.5613)
P (0.6413, 0.6413, 0.4387)
P (0.8704, 0.8704, 0.1713)

=====

(5)
The following is a PBE calculation of BaIn2CuPb after structural relaxation, from the Alexandria database.

Calculated values
- Mass density: 7.045 g cm⁻³
- Raw total energy: -15.858 eV for the cell shown
- Energy relative to the elements: -3.015 kcal/mol of atoms
- M_tot: 0.0 μB/f.u.
- SG: P4/mmm (123)

Unit cell a=5.1977 b=5.1977 c=5.5637 alpha=90.00 beta=90.00 gamma=90.00
Positions (direct):
Ba (0.0000, 0.0000, 0.0000)
In (0.0000, 0.5000, 0.5000)
In (0.5000, 0.0000, 0.5000)
Cu (0.5000, 0.5000, 0.5000)
Pb (0.5000, 0.5000, 0.0000)

=====

(6)
The following is a PBE calculation of Ba3In2Cu2Pd4 after structural relaxation, from the Alexandria database.

Calculated values
- Mass density: 6.678 g cm⁻³
- Raw total energy: -44.311 eV for the cell shown
- Energy relative to the elements: -8.600 kcal/mol of atoms
- M_tot: 0.0 μB/f.u.
- SG: P-3m1 (164)

Unit cell a=4.5305 b=4.5305 c=16.7080 alpha=90.00 beta=90.00 gamma=120.00
Positions (direct):
Ba (0.0000, 0.0000, 0.0000)
Ba (0.0000, 0.0000, 0.2654)
Ba (0.0000, 0.0000, 0.7346)
In (0.3333, 0.6667, 0.5627)
In (0.6667, 0.3333, 0.4373)
Cu (0.3333, 0.6667, 0.1345)
Cu (0.6667, 0.3333, 0.8655)
Pd (0.3333, 0.6667, 0.3957)
Pd (0.3333, 0.6667, 0.8657)
Pd (0.6667, 0.3333, 0.1343)
Pd (0.6667, 0.3333, 0.6043)

=====

(7)
The following is a PBE calculation of Ba2InCu2Pd5 after structural relaxation, from the Alexandria database.

Calculated values
- Mass density: 8.621 g cm⁻³
- Raw total energy: -88.832 eV for the cell shown
- Energy relative to the elements: -8.476 kcal/mol of atoms
- M_tot: 0.0 μB/f.u.
- SG: P4/mbm (127)

Unit cell a=10.2201 b=10.2201 c=3.8675 alpha=90.00 beta=90.00 gamma=90.00
Positions (direct):
Ba (0.1787, 0.3213, 0.0000)
Ba (0.3213, 0.8213, 0.0000)
Ba (0.6787, 0.1787, 0.0000)
Ba (0.8213, 0.6787, 0.0000)
In (0.0000, 0.0000, 0.0000)
In (0.5000, 0.5000, 0.0000)
Cu (0.1195, 0.6195, 0.0000)
Cu (0.3805, 0.1195, 0.0000)
Cu (0.6195, 0.8805, 0.0000)
Cu (0.8805, 0.3805, 0.0000)
Pd (0.0000, 0.5000, 0.5000)
Pd (0.0608, 0.7904, 0.5000)
Pd (0.2096, 0.0608, 0.5000)
Pd (0.2904, 0.5608, 0.5000)
Pd (0.4392, 0.2904, 0.5000)
Pd (0.5000, 0.0000, 0.5000)
Pd (0.5608, 0.7096, 0.5000)
Pd (0.7096, 0.4392, 0.5000)
Pd (0.7904, 0.9392, 0.5000)
Pd (0.9392, 0.2096, 0.5000)

=====

(8)
The following is a PBE calculation of Ba2In6CuPd after structural relaxation, from the Alexandria database.

Calculated values
- Mass density: 6.549 g cm⁻³
- Raw total energy: -32.674 eV for the cell shown
- Energy relative to the elements: -7.168 kcal/mol of atoms
- M_tot: 0.0 μB/f.u.
- SG: P-1 (2)

Unit cell a=7.1448 b=7.1737 c=7.6535 alpha=62.47 beta=62.30 gamma=60.21
Positions (direct):
Ba (0.2086, 0.2053, 0.3762)
Ba (0.7914, 0.7947, 0.6238)
In (0.2451, 0.6778, 0.8274)
In (0.2489, 0.2467, 0.8255)
In (0.3226, 0.7500, 0.1730)
In (0.6774, 0.2500, 0.8270)
In (0.7511, 0.7533, 0.1745)
In (0.7549, 0.3222, 0.1726)
Cu (0.0000, 0.0000, 0.0000)
Pd (0.5000, 0.5000, 0.5000)

=====

(9)
The following is a PBE calculation of BaInCuPd after structural relaxation, from the Alexandria database.

Calculated values
- Mass density: 6.610 g cm⁻³
- Raw total energy: -15.522 eV for the cell shown
- Energy relative to the elements: -9.059 kcal/mol of atoms
- M_tot: 0.0 μB/f.u.
- SG: Cm (8)

Unit cell a=4.6666 b=4.6666 c=6.2498 alpha=112.21 beta=112.21 gamma=59.99
Positions (direct):
Ba (0.0000, 0.0000, 0.0000)
In (0.4976, 0.4976, 0.4917)
Cu (0.1896, 0.1896, 0.5665)
Pd (0.8086, 0.8086, 0.4252)

=====

(10)
The following is a PBE calculation of BaInCuPd3 after structural relaxation, from the Alexandria database.

Calculated values
- Mass density: 7.849 g cm⁻³
- Raw total energy: -52.080 eV for the cell shown
- Energy relative to the elements: -6.549 kcal/mol of atoms
- M_tot: 0.0 μB/f.u.
- SG: Cmcm (63)

Unit cell a=6.8417 b=6.8417 c=7.1851 alpha=90.00 beta=90.00 gamma=126.99
Positions (direct):
Ba (0.1940, 0.8060, 0.7500)
Ba (0.8060, 0.1940, 0.2500)
In (0.1250, 0.8750, 0.2500)
In (0.8750, 0.1250, 0.7500)
Cu (0.4380, 0.5620, 0.7500)
Cu (0.5620, 0.4380, 0.2500)
Pd (0.2423, 0.2423, 0.0000)
Pd (0.2423, 0.2423, 0.5000)
Pd (0.3490, 0.6510, 0.2500)
Pd (0.6510, 0.3490, 0.7500)
Pd (0.7577, 0.7577, 0.0000)
Pd (0.7577, 0.7577, 0.5000)

=====

(11)
The following is a PBE calculation of Ba2In3CuPt4 after structural relaxation, from the Alexandria database.

Calculated values
- Mass density: 10.013 g cm⁻³
- Raw total energy: -45.937 eV for the cell shown
- Energy relative to the elements: -12.953 kcal/mol of atoms
- M_tot: 0.0 μB/f.u.
- SG: P-4m2 (115)

Unit cell a=4.7902 b=4.7902 c=10.5739 alpha=90.00 beta=90.00 gamma=90.00
Positions (direct):
Ba (0.0000, 0.5000, 0.2498)
Ba (0.5000, 0.0000, 0.7502)
In (0.0000, 0.0000, 0.0000)
In (0.0000, 0.5000, 0.6230)
In (0.5000, 0.0000, 0.3770)
Cu (0.5000, 0.5000, 0.0000)
Pt (0.0000, 0.0000, 0.5000)
Pt (0.0000, 0.5000, 0.8793)
Pt (0.5000, 0.0000, 0.1207)
Pt (0.5000, 0.5000, 0.5000)

=====

(12)
The following is a PBE calculation of Ba2In6CuRh after structural relaxation, from the Alexandria database.

Calculated values
- Mass density: 6.572 g cm⁻³
- Raw total energy: -34.699 eV for the cell shown
- Energy relative to the elements: -6.861 kcal/mol of atoms
- M_tot: 0.0 μB/f.u.
- SG: P-1 (2)

Unit cell a=7.2485 b=7.3097 c=7.4669 alpha=89.87 beta=61.03 gamma=60.29
Positions (direct):
Ba (0.0735, 0.2108, 0.1422)
Ba (0.9265, 0.7892, 0.8578)
In (0.0026, 0.7481, 0.3182)
In (0.4317, 0.3201, 0.3175)
In (0.4321, 0.7478, 0.3170)
In (0.5679, 0.2522, 0.6830)
In (0.5683, 0.6799, 0.6825)
In (0.9974, 0.2519, 0.6818)
Cu (0.5000, 0.5000, 0.0000)
Rh (0.5000, 0.0000, 0.5000)